# 1
The following is a DFT calculation (PBE-GGA) of a relaxed VFeTc crystal.

Calculated values
Electronic total energy (eV/atom): -9.39
Formation energy (eV/atom): -0.07
Polymorph energy (0 for the lowest one) (meV per atom): 48.2

Geometry as CIF:
```
data_VFeTc
_cell_length_a 4.2263
_cell_length_b 4.2263
_cell_length_c 2.5579
_cell_angle_alpha 90.00
_cell_angle_beta 90.00
_cell_angle_gamma 120.00
_symmetry_space_group_name_H-M 'P 3 m 1'
_symmetry_Int_Tables_number 156
_symmetry_space_group_name_Hall 'P 3 -2"'
loop_
_atom_site_label
_atom_site_type_symbol
_atom_site_fract_x
_atom_site_fract_y
_atom_site_fract_z
V1 V 0.0000 0.0000 0.0000
Fe1 Fe 0.3333 0.6667 0.3140
Tc1 Tc 0.6667 0.3333 0.6817
```

---

# 2
The following is a DFT calculation (PBE-GGA) of a relaxed V5Fe4Tc crystal.

Calculated values
Electronic total energy (eV/atom): -9.14
Formation energy (eV/atom): -0.16

Geometry as CIF:
```
data_V5Fe4Tc
_cell_length_a 2.936
_cell_length_b 2.936
_cell_length_c 14.324
_cell_angle_alpha 90.00
_cell_angle_beta 90.00
_cell_angle_gamma 90.00
_symmetry_space_group_name_H-M 'P 4/m m m'
_symmetry_Int_Tables_number 123
_symmetry_space_group_name_Hall '-P 4 2'
loop_
_atom_site_label
_atom_site_type_symbol
_atom_site_fract_x
_atom_site_fract_y
_atom_site_fract_z
V1 V 0.000 0.000 0.000
V2 V 0.000 0.000 0.196
V3 V 0.000 0.000 0.394
Fe1 Fe 0.500 0.500 0.098
Fe2 Fe 0.500 0.500 0.295
Tc1 Tc 0.500 0.500 0.500
```